The following is a PBE calculation of crystalline Ac3AlZn2Ni6 at its relaxed geometry, from the Alexandria database.

Summary:
Fermi-level density of states (states/eV/f.u.): 6.87
Magnetization (μB per formula unit): 0.00
Calculated formation energy (eV/atom): -0.22
E (eV for the cell shown): -55.90

The structure in POSCAR format:
```
Ac3AlZn2Ni6
1.0
5.616 0.000 0.000
-2.808 4.863 0.000
0.000 0.000 8.688
Ac Al Zn Ni
3 1 2 6
Cartesian
0.000 0.000 0.000 Ac
0.000 3.242 5.673 Ac
2.808 1.621 3.015 Ac
0.000 0.000 4.344 Al
0.000 3.242 0.595 Zn
2.808 1.621 8.093 Zn
0.000 1.742 2.615 Ni
-1.299 3.992 2.615 Ni
1.509 0.871 6.073 Ni
1.299 3.992 2.615 Ni
4.107 0.871 6.073 Ni
2.808 3.121 6.073 Ni
```


The following is a PBE calculation of crystalline HfCrIN2 at its relaxed geometry, from the Alexandria database.

Summary:
Fermi-level density of states (states/eV/f.u.): 3.27
Magnetization (μB per formula unit): 4.11
E (eV for the cell shown): -35.47

The structure in POSCAR format:
```
HfCrIN2
1.0
4.141 0.000 0.000
0.000 4.141 0.000
0.000 0.000 6.033
Hf Cr I N
1 1 1 2
Cartesian
0.000 0.000 0.000 Hf
2.071 2.071 3.016 Cr
0.000 0.000 3.016 I
0.000 2.071 0.000 N
2.071 0.000 0.000 N
```


The following is a PBE calculation of crystalline YCoBi2Te at its relaxed geometry, from the Alexandria database.

Summary:
Fermi-level density of states (states/eV/f.u.): 5.60
Magnetization (μB per formula unit): 0.70
E (eV for the cell shown): -24.29

The structure in POSCAR format:
```
YCoBi2Te
1.0
5.025 0.000 0.000
0.000 5.025 0.000
0.000 0.000 5.469
Y Co Bi Te
1 1 2 1
Cartesian
0.000 0.000 0.000 Y
2.512 2.512 2.735 Co
0.000 2.512 2.735 Bi
2.512 0.000 2.735 Bi
2.512 2.512 0.000 Te
```


The following is a PBE calculation of crystalline KSi3Au at its relaxed geometry, from the Alexandria database.

Summary:
Fermi-level density of states (states/eV/f.u.): 2.70
Magnetization (μB per formula unit): 0.00
E (eV for the cell shown): -9.57

The structure in POSCAR format:
```
KSi3Au
1.0
5.314 0.000 0.000
0.000 5.314 0.000
0.000 0.000 5.314
K Si Au
1 3 1
Cartesian
0.000 0.000 0.000 K
0.000 0.000 2.657 Si
0.000 2.657 0.000 Si
2.657 0.000 0.000 Si
2.657 2.657 2.657 Au
```


The following is a PBE calculation of crystalline HfTl2SnS5 at its relaxed geometry, from the Alexandria database.

Summary:
Magnetization (μB per formula unit): 0.00
E (eV for the cell shown): -92.36

The structure in POSCAR format:
```
HfTl2SnS5
1.0
1.904 -9.273 0.000
1.904 9.273 0.000
0.000 0.000 14.345
Hf Tl Sn S
2 4 2 10
Cartesian
1.904 5.249 7.173 Hf
1.904 -5.249 0.000 Hf
1.904 6.921 1.910 Tl
1.904 6.773 11.368 Tl
1.904 -6.773 4.195 Tl
1.904 -6.921 9.082 Tl
1.904 1.136 12.814 Sn
1.904 -1.136 5.641 Sn
1.904 8.222 7.236 S
1.904 3.815 1.624 S
1.904 3.574 12.500 S
1.904 2.924 6.801 S
1.904 0.093 3.678 S
1.904 -0.093 10.851 S
1.904 -2.924 13.974 S
1.904 -3.574 5.327 S
1.904 -3.815 8.797 S
1.904 -8.222 0.064 S
```


The following is a PBE calculation of crystalline Zr2SiAgO at its relaxed geometry, from the Alexandria database.

Summary:
Fermi-level density of states (states/eV/f.u.): 7.89
Magnetization (μB per formula unit): 0.00
E (eV for the cell shown): -27.54

The structure in POSCAR format:
```
Zr2SiAgO
1.0
4.999 0.000 0.000
0.000 4.999 0.000
0.000 0.000 4.457
Zr Si Ag O
2 1 1 1
Cartesian
0.000 2.500 0.000 Zr
2.500 0.000 0.000 Zr
0.000 0.000 0.000 Si
0.000 0.000 2.228 Ag
2.500 2.500 2.228 O
```